[1]
# Sm7In2Bi2 | Alexandria via LeMat-Bulk | PBE | optimized geometry
# - Formation energy: -4.0 kcal/mol of atoms
data_Sm7In2Bi2
_space_group_name_H-M_alt 'C m m m'
_space_group_IT_number 65
_space_group_name_Hall '-C 2 2'
_cell_length_a 9.5062
_cell_length_b 11.4055
_cell_length_c 7.1484
_cell_angle_alpha 90.00
_cell_angle_beta 90.00
_cell_angle_gamma 90.00
loop_
_atom_site_label
_atom_site_fract_x
_atom_site_fract_y
_atom_site_fract_z
Sm1 0.0000 0.0000 0.0000
Sm2 0.0000 0.5000 0.2564
Sm3 0.2500 0.2500 0.2720
In1 0.0000 0.2746 0.0000
Bi1 0.1930 0.0000 0.5000


[2]
# SmIn3Bi3 | Alexandria via LeMat-Bulk | PBE | optimized geometry
# - Formation energy: -3.8 kcal/mol of atoms
data_SmIn3Bi3
_space_group_name_H-M_alt 'C 1 2/m 1'
_space_group_IT_number 12
_cell_length_a 9.8740
_cell_length_b 9.5400
_cell_length_c 9.5141
_cell_angle_alpha 90.00
_cell_angle_beta 90.06
_cell_angle_gamma 90.00
loop_
_space_group_symop_operation_xyz
'x,y,z'
'-x,-y,-z'
'-x,y,-z'
'x,-y,z'
'x+1/2,y+1/2,z'
'-x+1/2,-y+1/2,-z'
'-x+1/2,y+1/2,-z'
'x+1/2,-y+1/2,z'
loop_
_atom_site_label
_atom_site_fract_x
_atom_site_fract_y
_atom_site_fract_z
Sm1 0.2340 0.0000 0.0000
In1 0.0000 0.2476 0.5000
In2 0.0000 0.2863 0.0000
In3 0.2167 0.5000 0.5001
Bi1 0.0001 0.0000 0.2493
Bi2 0.2500 0.2500 0.2447


[3]
# Sm8InBi6 | Alexandria via LeMat-Bulk | PBE | optimized geometry
# - Formation energy: -15.9 kcal/mol of atoms
data_Sm8InBi6
_space_group_name_H-M_alt 'R -3'
_space_group_IT_number 148
_space_group_name_Hall '-R 3'
_cell_length_a 9.5282
_cell_length_b 9.5282
_cell_length_c 19.3174
_cell_angle_alpha 90.00
_cell_angle_beta 90.00
_cell_angle_gamma 120.00
loop_
_atom_site_label
_atom_site_fract_x
_atom_site_fract_y
_atom_site_fract_z
Sm1 0.0000 0.0000 0.1663
Sm2 0.0053 0.2711 0.5888
In1 0.0000 0.0000 0.5000
Bi1 0.0050 0.3846 0.4219


[4]
# SmIn2Bi | Alexandria via LeMat-Bulk | PBE | optimized geometry
# - Formation energy: -9.8 kcal/mol of atoms
data_SmIn2Bi
_space_group_name_H-M_alt 'P 4/m m m'
_space_group_IT_number 123
_space_group_name_Hall '-P 4 2'
_cell_length_a 4.8344
_cell_length_b 4.8344
_cell_length_c 4.7595
_cell_angle_alpha 90.00
_cell_angle_beta 90.00
_cell_angle_gamma 90.00
loop_
_atom_site_label
_atom_site_fract_x
_atom_site_fract_y
_atom_site_fract_z
Sm1 0.0000 0.0000 0.0000
In1 0.0000 0.5000 0.5000
Bi1 0.5000 0.5000 0.0000


[5]
# Sm10In3Bi3 | Alexandria via LeMat-Bulk | PBE | optimized geometry
# - Formation energy: -13.1 kcal/mol of atoms
data_Sm10In3Bi3
_space_group_name_H-M_alt 'P -6 2 m'
_space_group_IT_number 189
_space_group_name_Hall 'P -6 -2'
_cell_length_a 9.2739
_cell_length_b 9.2739
_cell_length_c 6.7487
_cell_angle_alpha 90.00
_cell_angle_beta 90.00
_cell_angle_gamma 120.00
loop_
_atom_site_label
_atom_site_fract_x
_atom_site_fract_y
_atom_site_fract_z
Sm1 0.0000 0.2379 0.0000
Sm2 0.0000 0.7634 0.5000
Sm3 0.3333 0.6667 0.2547
In1 0.0000 0.3960 0.5000
Bi1 0.0000 0.6059 0.0000


[6]
# Sm6In5Bi | Alexandria via LeMat-Bulk | PBE | optimized geometry
# - Formation energy: -11.8 kcal/mol of atoms
data_Sm6In5Bi
_space_group_name_H-M_alt 'C m m m'
_space_group_IT_number 65
_space_group_name_Hall '-C 2 2'
_cell_length_a 5.0631
_cell_length_b 15.2666
_cell_length_c 8.8064
_cell_angle_alpha 90.00
_cell_angle_beta 90.00
_cell_angle_gamma 90.00
loop_
_atom_site_label
_atom_site_fract_x
_atom_site_fract_y
_atom_site_fract_z
Sm1 0.0000 0.0000 0.2483
Sm2 0.0000 0.3332 0.2462
In1 0.0000 0.1660 0.0000
In2 0.0000 0.1747 0.5000
In3 0.0000 0.5000 0.0000
Bi1 0.0000 0.5000 0.5000


[7]
# SmIn2Bi | Alexandria via LeMat-Bulk | PBE | optimized geometry
# - Formation energy: 2.9 kcal/mol of atoms
data_SmIn2Bi
_space_group_name_H-M_alt 'R -3 m'
_space_group_IT_number 166
_space_group_name_Hall '-R 3 2"'
_cell_length_a 3.4914
_cell_length_b 3.4914
_cell_length_c 36.0854
_cell_angle_alpha 90.00
_cell_angle_beta 90.00
_cell_angle_gamma 120.00
loop_
_atom_site_label
_atom_site_fract_x
_atom_site_fract_y
_atom_site_fract_z
Sm1 0.0000 0.0000 0.0000
In1 0.0000 0.0000 0.0892
Bi1 0.0000 0.0000 0.5000


[8]
# Sm6InBi2Te3 | Alexandria via LeMat-Bulk | PBE | optimized geometry
# - E_form (uncorrected): -1082 meV/atom
data_Sm6InBi2Te3
_space_group_name_H-M_alt 'C 1 2/m 1'
_space_group_IT_number 12
_cell_length_a 19.5959
_cell_length_b 4.4605
_cell_length_c 9.0593
_cell_angle_alpha 90.00
_cell_angle_beta 103.03
_cell_angle_gamma 90.00
loop_
_space_group_symop_operation_xyz
'x,y,z'
'-x,-y,-z'
'-x,y,-z'
'x,-y,z'
'x+1/2,y+1/2,z'
'-x+1/2,-y+1/2,-z'
'-x+1/2,y+1/2,-z'
'x+1/2,-y+1/2,z'
loop_
_atom_site_label
_atom_site_fract_x
_atom_site_fract_y
_atom_site_fract_z
Sm1 0.0007 0.0000 0.2556
Sm2 0.1629 0.5000 0.5818
Sm3 0.1675 0.5000 0.0820
In1 0.0000 0.5000 0.5000
Bi1 0.1663 0.0000 0.8335
Te1 0.0000 0.5000 0.0000
Te2 0.1690 0.0000 0.3333


[9]
# In3Sn2Bi2 | Alexandria via LeMat-Bulk | PBE | optimized geometry
# - Formation energy: 0.8 kcal/mol of atoms
data_In3Sn2Bi2
_space_group_name_H-M_alt 'I m m m'
_space_group_IT_number 71
_space_group_name_Hall '-I 2 2'
_cell_length_a 3.3351
_cell_length_b 5.5968
_cell_length_c 22.1132
_cell_angle_alpha 90.00
_cell_angle_beta 90.00
_cell_angle_gamma 90.00
loop_
_atom_site_label
_atom_site_fract_x
_atom_site_fract_y
_atom_site_fract_z
In1 0.0000 0.0000 0.0000
In2 0.0000 0.5000 0.2048
Sn1 0.0000 0.0000 0.4300
Bi1 0.0000 0.5000 0.3543


[10]
# In2SnBi | Alexandria via LeMat-Bulk | PBE | optimized geometry
# - Formation energy: 2.0 kcal/mol of atoms
# - Distance to the lowest polymorph of the same formula: 50 meV per atom
data_In2SnBi
_space_group_name_H-M_alt 'R 3 m'
_space_group_IT_number 160
_space_group_name_Hall 'R 3 -2"'
_cell_length_a 4.6500
_cell_length_b 4.6500
_cell_length_c 20.1429
_cell_angle_alpha 90.00
_cell_angle_beta 90.00
_cell_angle_gamma 120.00
loop_
_atom_site_label
_atom_site_fract_x
_atom_site_fract_y
_atom_site_fract_z
In1 0.0000 0.0000 0.0000
In2 0.0000 0.0000 0.1630
Sn1 0.0000 0.0000 0.4118
Bi1 0.0000 0.0000 0.5835


[11]
# InSn2Bi2 | Alexandria via LeMat-Bulk | PBE | optimized geometry
# - Formation energy: 2.5 kcal/mol of atoms
# - Distance to the lowest polymorph of the same formula: 42 meV per atom
data_InSn2Bi2
_space_group_name_H-M_alt 'C 1 2/c 1'
_space_group_IT_number 15
_cell_length_a 11.3306
_cell_length_b 10.3944
_cell_length_c 7.6154
_cell_angle_alpha 90.00
_cell_angle_beta 131.05
_cell_angle_gamma 90.00
loop_
_space_group_symop_operation_xyz
'x,y,z'
'-x,-y,-z'
'-x,y,-z+1/2'
'x,-y,z+1/2'
'x+1/2,y+1/2,z'
'-x+1/2,-y+1/2,-z'
'-x+1/2,y+1/2,-z+1/2'
'x+1/2,-y+1/2,z+1/2'
loop_
_atom_site_label
_atom_site_fract_x
_atom_site_fract_y
_atom_site_fract_z
In1 0.0000 0.1590 0.2500
Sn1 0.2011 0.3225 0.7059
Bi1 0.0000 0.1419 0.7500
Bi2 0.0000 0.4967 0.2500


[12]
# In2Sn2Bi | Alexandria via LeMat-Bulk | PBE | optimized geometry
# - Formation energy: 2.2 kcal/mol of atoms
# - Distance to the lowest polymorph of the same formula: 54 meV per atom
data_In2Sn2Bi
_space_group_name_H-M_alt 'P 4/m b m'
_space_group_IT_number 127
_space_group_name_Hall '-P 4 2ab'
_cell_length_a 8.9852
_cell_length_b 8.9852
_cell_length_c 3.5374
_cell_angle_alpha 90.00
_cell_angle_beta 90.00
_cell_angle_gamma 90.00
loop_
_atom_site_label
_atom_site_fract_x
_atom_site_fract_y
_atom_site_fract_z
In1 0.1617 0.3383 0.0000
Sn1 0.1340 0.6340 0.5000
Bi1 0.0000 0.0000 0.0000


[13]
# In2Sn4Bi | Alexandria via LeMat-Bulk | PBE | optimized geometry
# - Formation energy: 1.7 kcal/mol of atoms
data_In2Sn4Bi
_space_group_name_H-M_alt 'C m m m'
_space_group_IT_number 65
_space_group_name_Hall '-C 2 2'
_cell_length_a 3.4732
_cell_length_b 29.5212
_cell_length_c 3.9628
_cell_angle_alpha 90.00
_cell_angle_beta 90.00
_cell_angle_gamma 90.00
loop_
_atom_site_label
_atom_site_fract_x
_atom_site_fract_y
_atom_site_fract_z
In1 0.0000 0.2053 0.0000
Sn1 0.0000 0.0741 0.0000
Sn2 0.0000 0.3601 0.5000
Bi1 0.0000 0.5000 0.5000


[14]
# In8Sn3Bi2 | Alexandria via LeMat-Bulk | PBE | optimized geometry
# - Formation energy: 1.2 kcal/mol of atoms
data_In8Sn3Bi2
_space_group_name_H-M_alt 'C 1 2/m 1'
_space_group_IT_number 12
_cell_length_a 19.3204
_cell_length_b 6.4209
_cell_length_c 6.2173
_cell_angle_alpha 90.00
_cell_angle_beta 99.74
_cell_angle_gamma 90.00
loop_
_space_group_symop_operation_xyz
'x,y,z'
'-x,-y,-z'
'-x,y,-z'
'x,-y,z'
'x+1/2,y+1/2,z'
'-x+1/2,-y+1/2,-z'
'-x+1/2,y+1/2,-z'
'x+1/2,-y+1/2,z'
loop_
_atom_site_label
_atom_site_fract_x
_atom_site_fract_y
_atom_site_fract_z
In1 0.0735 0.0000 0.4275
In2 0.1465 0.5000 0.3103
In3 0.1481 0.2454 0.8536
Sn1 0.0000 0.2567 0.0000
Sn2 0.0000 0.5000 0.5000
Bi1 0.2266 0.0000 0.2851


[15]
# In12Sn2Bi5 | Alexandria via LeMat-Bulk | PBE | optimized geometry
# - Formation energy: 1.6 kcal/mol of atoms
# - Distance to the lowest polymorph of the same formula: 24 meV per atom
data_In12Sn2Bi5
_space_group_name_H-M_alt 'C 1 2/m 1'
_space_group_IT_number 12
_cell_length_a 17.6538
_cell_length_b 8.7187
_cell_length_c 8.5813
_cell_angle_alpha 90.00
_cell_angle_beta 115.70
_cell_angle_gamma 90.00
loop_
_space_group_symop_operation_xyz
'x,y,z'
'-x,-y,-z'
'-x,y,-z'
'x,-y,z'
'x+1/2,y+1/2,z'
'-x+1/2,-y+1/2,-z'
'-x+1/2,y+1/2,-z'
'x+1/2,-y+1/2,z'
loop_
_atom_site_label
_atom_site_fract_x
_atom_site_fract_y
_atom_site_fract_z
In1 0.0370 0.0000 0.3573
In2 0.0648 0.5000 0.2143
In3 0.1101 0.2397 0.7567
In4 0.1939 0.2005 0.2153
Sn1 0.0000 0.1854 0.0000
Bi1 0.0000 0.5000 0.5000
Bi2 0.2331 0.0000 0.5511
Bi3 0.2364 0.5000 0.0120


[16]
# In2SnBi | Alexandria via LeMat-Bulk | PBE | optimized geometry
# - Formation energy: 0.8 kcal/mol of atoms
# - Distance to the lowest polymorph of the same formula: 0 meV per atom
data_In2SnBi
_space_group_name_H-M_alt 'P 1 21/m 1'
_space_group_IT_number 11
_cell_length_a 6.6134
_cell_length_b 5.1574
_cell_length_c 6.8909
_cell_angle_alpha 90.00
_cell_angle_beta 92.99
_cell_angle_gamma 90.00
loop_
_space_group_symop_operation_xyz
'x,y,z'
'-x,-y,-z'
'-x,y+1/2,-z'
'x,-y+1/2,z'
loop_
_atom_site_label
_atom_site_fract_x
_atom_site_fract_y
_atom_site_fract_z
In1 0.1340 0.2500 0.1162
In2 0.3310 0.7500 0.3617
Sn1 0.3518 0.7500 0.8921
Bi1 0.1928 0.2500 0.6103


[17]
# InSnBi2 | Alexandria via LeMat-Bulk | PBE | optimized geometry
# - Formation energy: 2.3 kcal/mol of atoms
data_InSnBi2
_space_group_name_H-M_alt 'R -3 m'
_space_group_IT_number 166
_space_group_name_Hall '-R 3 2"'
_cell_length_a 3.3941
_cell_length_b 3.3941
_cell_length_c 36.8762
_cell_angle_alpha 90.00
_cell_angle_beta 90.00
_cell_angle_gamma 120.00
loop_
_atom_site_label
_atom_site_fract_x
_atom_site_fract_y
_atom_site_fract_z
In1 0.0000 0.0000 0.0000
Sn1 0.0000 0.0000 0.5000
Bi1 0.0000 0.0000 0.0860


[18]
# In5Sn8Bi | Alexandria via LeMat-Bulk | PBE | optimized geometry
# - Formation energy: 2.3 kcal/mol of atoms
data_In5Sn8Bi
_space_group_name_H-M_alt 'I -4'
_space_group_IT_number 82
_cell_length_a 10.3911
_cell_length_b 10.3911
_cell_length_c 7.9525
_cell_angle_alpha 90.00
_cell_angle_beta 90.00
_cell_angle_gamma 90.00
loop_
_space_group_symop_operation_xyz
'x,y,z'
'y,-x,-z'
'-x,-y,z'
'-y,x,-z'
'x+1/2,y+1/2,z+1/2'
'y+1/2,-x+1/2,-z+1/2'
'-x+1/2,-y+1/2,z+1/2'
'-y+1/2,x+1/2,-z+1/2'
loop_
_atom_site_label
_atom_site_fract_x
_atom_site_fract_y
_atom_site_fract_z
In1 0.0000 0.0000 0.0000
In2 0.1124 0.8437 0.3700
Sn1 0.0505 0.3522 0.9032
Sn2 0.1625 0.8278 0.7573
Bi1 0.0000 0.5000 0.2500


[19]
# InSnBi | Alexandria via LeMat-Bulk | PBE | optimized geometry
# - Formation energy: 1.5 kcal/mol of atoms
# - Distance to the lowest polymorph of the same formula: 13 meV per atom
data_InSnBi
_space_group_name_H-M_alt 'I 4 m m'
_space_group_IT_number 107
_space_group_name_Hall 'I 4 -2'
_cell_length_a 3.6868
_cell_length_b 3.6868
_cell_length_c 12.7844
_cell_angle_alpha 90.00
_cell_angle_beta 90.00
_cell_angle_gamma 90.00
loop_
_atom_site_label
_atom_site_fract_x
_atom_site_fract_y
_atom_site_fract_z
In1 0.0000 0.0000 0.0000
Sn1 0.0000 0.0000 0.3423
Bi1 0.0000 0.0000 0.6736


[20]
# InSnBi3 | Alexandria via LeMat-Bulk | PBE | optimized geometry
# - Formation energy: 2.6 kcal/mol of atoms
# - Distance to the lowest polymorph of the same formula: 26 meV per atom
data_InSnBi3
_space_group_name_H-M_alt 'A m a 2'
_space_group_IT_number 40
_cell_length_a 11.9886
_cell_length_b 9.5792
_cell_length_c 6.1225
_cell_angle_alpha 90.00
_cell_angle_beta 90.00
_cell_angle_gamma 90.00
loop_
_space_group_symop_operation_xyz
'x,y,z'
'-x,-y,z'
'-x+1/2,y,z'
'x+1/2,-y,z'
'x,y+1/2,z+1/2'
'-x,-y+1/2,z+1/2'
'-x+1/2,y+1/2,z+1/2'
'x+1/2,-y+1/2,z+1/2'
loop_
_atom_site_label
_atom_site_fract_x
_atom_site_fract_y
_atom_site_fract_z
In1 0.2500 0.1930 0.0000
Sn1 0.0000 0.0000 0.1597
Bi1 0.0459 0.1611 0.6880
Bi2 0.2500 0.0215 0.4324


DFT total energy, respectively: -96.34 -102.92 -222.36 -15.78 -76.13 -104.05 -40.72 -122.44 -47.49 -39.06 -71.81 -33.79 -49.71 -81.99 -117.91 -26.44 -42.31 -96.36 -20.86 -71.30 eV for the cell shown.